# PBE Li3ReGe, optimized geometry
data_Li3ReGe
_cell_length_a 4.7892
_cell_length_b 4.7892
_cell_length_c 4.7892
_cell_angle_alpha 90.00
_cell_angle_beta 90.00
_cell_angle_gamma 90.00
_space_group_name_H-M_alt 'P m -3 m'
_space_group_IT_number 221
_space_group_name_Hall '-P 4 2 3'
loop_
_atom_site_label
_atom_site_type_symbol
_atom_site_fract_x
_atom_site_fract_y
_atom_site_fract_z
_atom_site_occupancy
Li1 Li 0.0000 0.0000 0.5000 1
Re1 Re 0.0000 0.0000 0.0000 1
Ge1 Ge 0.5000 0.5000 0.5000 1
# Theoretical density (g/cm³): 4.23
# Energy above the lowest structure with this stoichiometry (meV per atom): 184.6
# E_form (eV per atom): 1.410
# Electronic total energy (eV per cell): -15.8